# 1
TbCeThMg | GGA-PBE | optimized geometry

Cell: 5.515 5.515 5.515 Å, 60.00 60.00 60.00°
Fractional positions:
Mg 0.000 0.000 0.000
Tb 0.250 0.250 0.250
Ce 0.750 0.750 0.750
Th 0.500 0.500 0.500

Calculated values
- E_form (eV per atom) = 0.18

---

# 2
TbCeMgTl | GGA-PBE | optimized geometry

Cell: 5.423 5.423 5.423 Å, 60.00 60.00 60.00°
Fractional positions:
Tl 0.000 0.000 0.000
Tb 0.250 0.250 0.250
Mg 0.500 0.500 0.500
Ce 0.750 0.750 0.750

Calculated values
- E_form (eV per atom) = -0.15

---

# 3
TbCeTmMg | GGA-PBE | optimized geometry

Cell: 5.484 5.484 5.484 Å, 60.00 60.00 60.00°
Fractional positions:
Mg 0.750 0.750 0.750
Tm 0.250 0.250 0.250
Tb 0.000 0.000 0.000
Ce 0.500 0.500 0.500

Calculated values
- E_form (eV per atom) = 0.08

---

# 4
TbCeMgZr | GGA-PBE | optimized geometry

Cell: 5.321 5.321 5.321 Å, 60.00 60.00 60.00°
Fractional positions:
Mg 0.500 0.500 0.500
Tb 0.750 0.750 0.750
Zr 0.000 0.000 0.000
Ce 0.250 0.250 0.250

Calculated values
- E_form (eV per atom) = 0.14

---

# 5
Ce2MgTc2 | GGA-PBE | optimized geometry

Cell: 4.766 5.812 5.174 Å, 63.90 62.57 65.79°
Fractional positions:
Ce 0.714 0.814 0.258
Ce 0.286 0.186 0.742
Mg 0.500 0.500 0.000
Tc 0.019 0.230 0.231
Tc 0.981 0.770 0.769

Calculated values
- E_form (eV per atom) = -0.05

---

# 6
Ce2Mg2Tc | GGA-PBE | optimized geometry

Cell: 3.316 3.316 11.206 Å, 98.51 98.51 90.00°
Fractional positions:
Ce 0.581 0.581 0.162
Ce 0.419 0.419 0.838
Mg 0.799 0.799 0.598
Mg 0.201 0.201 0.402
Tc 0.000 0.000 0.000

Calculated values
- E_form (eV per atom) = -0.04

---

Fermi-level density of states per entry: 2.386 2.718 1.811 1.845 1.270 1.753 states/eV per atom